Entry 1:
VASP calculation (PBE-GGA) on a relaxed structure of LiMg2Ag.

abc: 4.6418 4.6418 9.3902
angles: 90.00 90.00 120.00
Atoms (fractional coordinates):
Ag1 0.0000 0.0000 0.0000
Ag2 0.0000 0.0000 0.5000
Li1 0.3333 0.6667 0.2500
Li2 0.6667 0.3333 0.7500
Mg1 0.6667 0.3333 0.0867
Mg2 0.6667 0.3333 0.4133
Mg3 0.3333 0.6667 0.5867
Mg4 0.3333 0.6667 0.9133

Calculated values
As for the space-group type: No. 194. The calculation puts the energy above the most stable polymorph in this dataset at 200 meV per atom.


Entry 2:
VASP calculation (PBE-GGA) on a relaxed structure of Li2MgAg.

abc: 5.1298 5.1298 5.1298
angles: 133.49 133.49 67.88
Atoms (fractional coordinates):
Ag1 0.5000 0.5000 0.0000
Li1 0.7500 0.2500 0.5000
Li2 0.2500 0.7500 0.5000
Mg1 0.0000 0.0000 0.0000

Calculated values
As for the space-group type: No. 139.


Entry 3:
VASP calculation (PBE-GGA) on a relaxed structure of LiMg2Ag.

abc: 4.6946 6.6866 14.1019
angles: 90.00 90.00 90.00
Atoms (fractional coordinates):
Ag1 0.0000 0.5000 0.0000
Ag2 0.4998 0.0000 0.1667
Ag3 0.9998 0.5000 0.3333
Ag4 0.5000 0.0000 0.5000
Ag5 0.0002 0.5000 0.6667
Ag6 0.5002 0.0000 0.8333
Li1 0.0000 0.0000 0.0000
Li2 0.4998 0.5000 0.1667
Li3 0.9998 0.0000 0.3333
Li4 0.5000 0.5000 0.5000
Li5 0.0002 0.0000 0.6667
Li6 0.5002 0.5000 0.8333
Mg1 0.5000 0.2499 0.0000
Mg2 0.5000 0.7501 0.0000
Mg3 0.9998 0.2501 0.1667
Mg4 0.9998 0.7499 0.1667
Mg5 0.4998 0.2499 0.3333
Mg6 0.4998 0.7501 0.3333
Mg7 0.0000 0.2501 0.5000
Mg8 0.0000 0.7499 0.5000
Mg9 0.5002 0.2499 0.6667
Mg10 0.5002 0.7501 0.6667
Mg11 0.0002 0.2501 0.8333
Mg12 0.0002 0.7499 0.8333

Calculated values
As for the space-group type: No. 139. The calculation puts the energy above the most stable polymorph in this dataset at 0 meV per atom.


What are the raw total energy values for these records? In order: -15.79 -8.86 -52.17 eV per cell.